# 1
Compound: FeOsPd2
Source: the Open Quantum Materials Database
Functional: PBE
Structure: optimized geometry

Cell and atoms, written as extended XYZ:
```
4
Lattice="-1.419 -4.093 -0.028 -2.680 -1.384 3.110 -4.145 -0.849 -0.933" Properties=species:S:1:pos:R:3 pbc="T T T"
Fe -2.061 -1.582 0.537
Os -4.122 -3.163 1.075
Pd 0.000 0.000 0.000
Pd -6.184 -4.745 1.612
```

Values from the calculation:
- Magnetic moment: 2.085 μB/cell
- Calculated volume: 57.5 Å³/cell
- Electronic total energy: -7.13 eV/atom
- Crystal system: cubic
- Calculated formation energy: 1.37 eV per formula unit

# 2
Compound: FeCoCuGe
Source: the Open Quantum Materials Database
Functional: PBE
Structure: optimized geometry

Cell and atoms, written as extended XYZ:
```
4
Lattice="-0.572 -3.176 2.525 -0.191 0.609 4.048 -3.566 -0.434 1.971" Properties=species:S:1:pos:R:3 pbc="T T T"
Co -2.164 -1.501 4.272
Cu 0.000 0.000 0.000
Fe -3.247 -2.251 6.408
Ge -1.082 -0.750 2.136
```

Values from the calculation:
- Magnetic moment: 3.960 μB/cell
- Calculated volume: 48.7 Å³/cell
- Excess energy over the best structure of this formula in the dataset: 0.0000 eV/atom
- Electronic total energy: -5.93 eV/atom
- Crystal system: cubic

# 3
Compound: NdRePb2O6
Source: the Open Quantum Materials Database
Functional: PBE
Structure: optimized geometry

Cell and atoms, written as extended XYZ:
```
10
Lattice="-4.631 -2.297 0.521 -0.802 -0.639 5.183 -2.777 5.249 0.347" Properties=species:S:1:pos:R:3 pbc="T T T"
Nd 0.000 0.000 0.000
O -1.577 -0.797 1.569
O -4.266 -0.435 2.015
O -2.610 0.298 3.873
O -5.601 2.014 2.178
O -3.944 2.747 4.036
O -6.634 3.109 4.482
Pb -5.063 0.585 4.070
Pb -3.147 1.727 1.981
Re -2.717 -1.468 2.852
```

Values from the calculation:
- Magnetic moment: 0.004 μB/cell
- Calculated volume: 156.3 Å³/cell
- Electronic total energy: -7.12 eV/atom
- Crystal system: triclinic

# 4
Compound: DyHo2CoNi8
Source: the Open Quantum Materials Database
Functional: PBE
Structure: optimized geometry

Cell and atoms, written as extended XYZ:
```
12
Lattice="-6.945 -1.214 4.900 -3.386 0.426 7.879 -5.911 3.596 5.084" Properties=species:S:1:pos:R:3 pbc="T T T"
Co -8.121 1.404 8.931
Dy 0.000 0.000 0.000
Ho -2.266 0.392 2.492
Ho -13.976 2.416 15.370
Ni -6.506 -0.163 7.863
Ni -5.410 0.935 5.950
Ni -10.254 0.565 9.907
Ni -8.474 1.385 11.397
Ni -7.769 1.423 6.465
Ni -5.988 2.243 7.955
Ni -10.832 1.873 11.912
Ni -9.737 2.971 9.999
```

Values from the calculation:
- Magnetic moment: 1.628 μB/cell
- Calculated volume: 170.0 Å³/cell
- Electronic total energy: -5.84 eV/atom
- Crystal system: trigonal
- Calculated formation energy: -4.66 eV per formula unit

# 5
Compound: CsOsAu3Se4
Source: the Open Quantum Materials Database
Functional: PBE
Structure: optimized geometry

Cell and atoms, written as extended XYZ:
```
9
Lattice="6.546 0.000 0.000 0.000 6.546 0.000 0.000 0.000 6.546" Properties=species:S:1:pos:R:3 pbc="T T T"
Au 3.273 3.273 0.000
Au 3.273 0.000 3.273
Au 0.000 3.273 3.273
Cs 0.000 0.000 0.000
Os 3.273 3.273 3.273
Se 1.912 1.912 1.912
Se 4.634 4.634 1.912
Se 4.634 1.912 4.634
Se 1.912 4.634 4.634
```

Values from the calculation:
- Magnetic moment: 0.002 μB/cell
- Calculated volume: 280.5 Å³/cell
- Electronic total energy: -3.96 eV/atom
- Crystal system: cubic

# 6
Compound: SrCoAuS3
Source: the Open Quantum Materials Database
Functional: PBE
Structure: optimized geometry

Cell and atoms, written as extended XYZ:
```
12
Lattice="1.837 -7.079 0.000 1.837 7.079 0.000 0.000 0.000 9.794" Properties=species:S:1:pos:R:3 pbc="T T T"
Au 1.837 5.362 2.448
Au 1.837 -5.362 7.345
Co 1.837 0.000 0.000
Co 1.837 0.000 4.897
S 1.837 5.628 0.157
S 1.837 0.617 2.448
S 1.837 5.628 4.740
S 1.837 -5.628 5.054
S 1.837 -0.617 7.345
S 1.837 -5.628 9.637
Sr 1.837 -4.249 2.448
Sr 1.837 4.249 7.345
```

Values from the calculation:
- Magnetic moment: 0.118 μB/cell
- Calculated volume: 254.8 Å³/cell
- Electronic total energy: -4.64 eV/atom
- Crystal system: orthorhombic

# 7
Compound: MgSc2Os
Source: the Open Quantum Materials Database
Functional: PBE
Structure: optimized geometry

Cell and atoms, written as extended XYZ:
```
8
Lattice="0.936 4.337 -0.156 -2.338 -1.885 -3.269 -8.529 2.018 4.938" Properties=species:S:1:pos:R:3 pbc="T T T"
Mg -3.379 0.693 -0.996
Mg -6.552 3.776 2.510
Os 0.000 0.000 0.000
Os -4.264 1.009 2.469
Sc -0.847 2.426 -0.794
Sc -3.729 3.108 0.876
Sc -6.202 1.361 0.638
Sc -9.085 2.043 2.307
```

Values from the calculation:
- Magnetic moment: 0.065 μB/cell
- Calculated volume: 171.7 Å³/cell
- Electronic total energy: -6.21 eV/atom
- Crystal system: hexagonal

# 8
Compound: NdPaOs
Source: the Open Quantum Materials Database
Functional: PBE
Structure: optimized geometry

Cell and atoms, written as extended XYZ:
```
3
Lattice="0.000 3.421 3.421 3.421 0.000 3.421 3.421 3.421 0.000" Properties=species:S:1:pos:R:3 pbc="T T T"
Nd 1.710 1.710 1.710
Os 0.000 0.000 0.000
Pa 5.131 5.131 5.131
```

Values from the calculation:
- Magnetic moment: 1.066 μB/cell
- Calculated volume: 80.1 Å³/cell
- Excess energy over the best structure of this formula in the dataset: 0.0000 eV/atom
- Electronic total energy: -8.39 eV/atom
- Crystal system: cubic
- Calculated formation energy: 0.31 eV per formula unit

# 9
Compound: HfCdCoSb
Source: the Open Quantum Materials Database
Functional: PBE
Structure: optimized geometry

Cell and atoms, written as extended XYZ:
```
4
Lattice="-3.545 -1.765 -2.624 -4.504 1.073 1.063 -2.497 2.862 -2.853" Properties=species:S:1:pos:R:3 pbc="T T T"
Cd -2.636 0.542 -1.103
Co -7.909 1.627 -3.310
Hf -5.273 1.085 -2.207
Sb 0.000 0.000 0.000
```

Values from the calculation:
- Magnetic moment: 0.001 μB/cell
- Calculated volume: 75.8 Å³/cell
- Excess energy over the best structure of this formula in the dataset: 0.0000 eV/atom
- Electronic total energy: -5.30 eV/atom
- Crystal system: cubic

# 10
Compound: HgSbOs
Source: the Open Quantum Materials Database
Functional: PBE
Structure: optimized geometry

Cell and atoms, written as extended XYZ:
```
3
Lattice="0.000 3.205 3.205 3.205 0.000 3.205 3.205 3.205 0.000" Properties=species:S:1:pos:R:3 pbc="T T T"
Hg 1.603 1.603 1.603
Os 0.000 0.000 0.000
Sb 4.808 4.808 4.808
```

Values from the calculation:
- Magnetic moment: 0.003 μB/cell
- Calculated volume: 65.9 Å³/cell
- Excess energy over the best structure of this formula in the dataset: 0.0000 eV/atom
- Electronic total energy: -4.65 eV/atom
- Crystal system: cubic

# 11
Compound: Tm3CdC
Source: the Open Quantum Materials Database
Functional: PBE
Structure: optimized geometry

Cell and atoms, written as extended XYZ:
```
5
Lattice="4.841 0.000 0.000 0.000 4.841 0.000 0.000 0.000 4.841" Properties=species:S:1:pos:R:3 pbc="T T T"
C 0.000 0.000 0.000
Cd 2.420 2.420 2.420
Tm 2.420 0.000 0.000
Tm 0.000 2.420 0.000
Tm 0.000 0.000 2.420
```

Values from the calculation:
- Magnetic moment: 0.979 μB/cell
- Calculated volume: 113.4 Å³/cell
- Electronic total energy: -5.06 eV/atom
- Crystal system: cubic

# 12
Compound: SmMgTc
Source: the Open Quantum Materials Database
Functional: PBE
Structure: optimized geometry

Cell and atoms, written as extended XYZ:
```
3
Lattice="0.000 3.362 3.362 3.362 0.000 3.362 3.362 3.362 0.000" Properties=species:S:1:pos:R:3 pbc="T T T"
Mg 1.681 1.681 1.681
Sm 0.000 0.000 0.000
Tc 5.043 5.043 5.043
```

Values from the calculation:
- Magnetic moment: 1.766 μB/cell
- Calculated volume: 76.0 Å³/cell
- Electronic total energy: -4.37 eV/atom
- Crystal system: cubic

# 13
Compound: LiAcTa
Source: the Open Quantum Materials Database
Functional: PBE
Structure: optimized geometry

Cell and atoms, written as extended XYZ:
```
3
Lattice="0.000 3.494 3.494 3.494 0.000 3.494 3.494 3.494 0.000" Properties=species:S:1:pos:R:3 pbc="T T T"
Ac 0.000 0.000 0.000
Li 3.494 3.494 3.494
Ta 1.747 1.747 1.747
```

Values from the calculation:
- Magnetic moment: 1.344 μB/cell
- Calculated volume: 85.3 Å³/cell
- Excess energy over the best structure of this formula in the dataset: 0.0000 eV/atom
- Electronic total energy: -4.64 eV/atom
- Crystal system: cubic

# 14
Compound: DyZnCuS3
Source: the Open Quantum Materials Database
Functional: PBE
Structure: optimized geometry

Cell and atoms, written as extended XYZ:
```
12
Lattice="2.892 0.630 5.530 -5.465 0.241 -3.071 -1.536 -10.027 1.946" Properties=species:S:1:pos:R:3 pbc="T T T"
Cu -1.817 -2.078 1.565
Cu -2.291 -7.077 2.841
Dy 0.000 0.000 0.000
Dy -0.768 -5.013 0.973
S -2.653 -0.490 0.129
S -4.957 -2.224 -1.666
S -3.155 -3.766 0.765
S -0.954 -5.389 3.641
S 0.848 -6.931 6.072
S -1.455 -8.665 4.277
Zn 0.556 -1.967 4.008
Zn -4.665 -7.188 0.398
```

Values from the calculation:
- Magnetic moment: 0.003 μB/cell
- Calculated volume: 227.1 Å³/cell
- Electronic total energy: -4.60 eV/atom
- Crystal system: orthorhombic

# 15
Compound: YHoAu6
Source: the Open Quantum Materials Database
Functional: PBE
Structure: optimized geometry

Cell and atoms, written as extended XYZ:
```
8
Lattice="-1.444 -2.661 -4.017 -4.651 -2.391 3.256 -3.027 3.875 -1.478" Properties=species:S:1:pos:R:3 pbc="T T T"
Au -3.549 -1.884 -0.625
Au -2.166 0.725 0.299
Au -4.534 -0.492 1.956
Au -3.926 0.618 -2.147
Au -6.177 -0.539 -0.571
Au -2.519 3.224 -1.230
Ho -4.882 2.077 0.379
Y -1.195 -0.725 -2.239
```

Values from the calculation:
- Magnetic moment: 0.002 μB/cell
- Calculated volume: 159.1 Å³/cell
- Electronic total energy: -4.55 eV/atom
- Crystal system: orthorhombic
- Calculated formation energy: -5.78 eV per formula unit